Ta2TiPb2 after structural relaxation, computed with PBE.

Cell lengths 7.6330, 7.6330, 3.6499 Å; angles 90.00, 90.00, 90.00 degrees
With the nearest neighbours (Å) after each atom.
Element x y z (fractional)
Pb 0.3421 0.8421 0.0000  6 Ta 2.86-2.91, 2 Ti 2.88
Pb 0.8421 0.6579 0.0000  6 Ta 2.86-2.91, 2 Ti 2.88
Pb 0.6579 0.1579 0.0000  6 Ta 2.86-2.91, 2 Ti 2.88
Pb 0.1579 0.3421 0.0000  6 Ta 2.86-2.91, 2 Ti 2.88
Ti 0.0000 0.0000 0.0000  4 Pb 2.88
Ti 0.5000 0.5000 0.0000  4 Pb 2.88
Ta 0.1380 0.6380 0.5000  6 Pb 2.86-2.91, 1 Ta 2.98
Ta 0.6380 0.8620 0.5000  6 Pb 2.86-2.91, 1 Ta 2.98
Ta 0.8620 0.3620 0.5000  6 Pb 2.86-2.91, 1 Ta 2.98
Ta 0.3620 0.1380 0.5000  6 Pb 2.86-2.91, 1 Ta 2.98

Values from the calculation:
Calculated formation energy, eV per atom: 0.5825
E above lowest polymorph, eV/atom: 0.000
E, eV per atom: -7.221

Rb6ZrI12 after structural relaxation, computed with PBE.

Cell lengths 10.2232, 10.2232, 10.2232 Å; angles 97.11, 97.11, 97.11 degrees
With the nearest neighbours (Å) after each atom.
Element x y z (fractional)
Rb 0.1546 0.2782 0.6265  7 I 3.67-4.00
Rb 0.7218 0.3735 0.8454  7 I 3.67-4.00
Rb 0.3735 0.8454 0.7218  7 I 3.67-4.00
Rb 0.8454 0.7218 0.3735  7 I 3.67-4.00
Rb 0.2782 0.6265 0.1546  7 I 3.67-4.00
Rb 0.6265 0.1546 0.2782  7 I 3.67-4.00
Zr 0.0000 0.0000 0.0000  6 I 2.89
I 0.4724 0.1583 0.5845  1 I 3.62, 4 Rb 3.67-3.73
I 0.1583 0.5845 0.4724  1 I 3.62, 4 Rb 3.67-3.73
I 0.5845 0.4724 0.1583  1 I 3.62, 4 Rb 3.67-3.73
I 0.5276 0.8417 0.4155  1 I 3.62, 4 Rb 3.67-3.73
I 0.8417 0.4155 0.5276  1 I 3.62, 4 Rb 3.67-3.73
I 0.4155 0.5276 0.8417  1 I 3.62, 4 Rb 3.67-3.73
I 0.0135 0.9421 0.7181  1 Zr 2.89
I 0.2819 0.9865 0.0579  1 Zr 2.89
I 0.0579 0.2819 0.9865  1 Zr 2.89
I 0.9865 0.0579 0.2819  1 Zr 2.89
I 0.7181 0.0135 0.9421  1 Zr 2.89
I 0.9421 0.7181 0.0135  1 Zr 2.89

Values from the calculation:
Formation energy (no corrections), eV/atom: -1.11
E, eV per atom: -2.845

CrHRh2 after structural relaxation, computed with PBE.

Cell lengths 2.7212, 2.7212, 6.8157 Å; angles 78.58, 78.58, 60.00 degrees
With the nearest neighbours (Å) after each atom.
Element x y z (fractional)
Cr 0.5008 0.5008 0.4982  6 Rh 2.55-2.57, 6 Cr 2.72
H 0.6640 0.6640 0.0096  6 Rh 1.98-2.10
Rh 0.0669 0.0669 0.8002  3 H 2.10
Rh 0.2683 0.2683 0.1920  3 H 1.98-1.99

Values from the calculation:
E above lowest polymorph, eV/atom: 0.007
E, eV per atom: -6.969

AlCdMo2 after structural relaxation, computed with PBE.

Cell lengths 2.7417, 2.7417, 8.8155 Å; angles 90.00, 90.00, 90.00 degrees
With the nearest neighbours (Å) after each atom.
Element x y z (fractional)
Mo 0.0000 0.0000 0.0188  4 Mo 2.74, 4 Al 2.81, 4 Cd 3.06
Mo 0.0000 0.0000 0.4812  4 Mo 2.74, 4 Al 2.81, 4 Cd 3.06
Al 0.5000 0.5000 0.2500  4 Al 2.74, 8 Mo 2.81
Cd 0.5000 0.5000 0.7500  4 Cd 2.74, 8 Mo 3.06

Values from the calculation:
Calculated formation energy, eV per atom: 0.1753
E above lowest polymorph, eV/atom: 0.074
E, eV per atom: -6.405